DFT (PBE) results for crystalline SmZrHgRh at its relaxed geometry.

Cell and atoms, written as extended XYZ:
```
4
Lattice="0.000 3.528 3.528 3.528 0.000 3.528 3.528 3.528 0.000" Properties=species:S:1:pos:R:3 pbc="T T T"
Sm 0.000 0.000 0.000
Zr 3.528 3.528 3.528
Hg 5.292 5.292 5.292
Rh 1.764 1.764 1.764
```

Summary:
- DOS at the Fermi energy (states/eV/cell) = 3.542
- spin magnetization (μB per formula unit) = 0.00
- energy of formation from the pure elements (eV/atom) = -0.360
- space-group type = No. 216